Below is a relaxed MgAl2Pt2 crystal, with properties calculated at the PBE level.

Geometry as POSCAR:
```
MgAl2Pt2
1.0
4.3269 0.0000 0.0000
0.0000 4.1718 -0.0541
0.0000 0.1237 9.3816
Mg Al Pt
2 4 4
Cartesian
3.2452 1.1267 6.4123
1.0817 3.1689 2.9152
3.2452 1.0435 -0.0121
1.0817 3.2116 6.2617
1.0817 3.2520 9.3396
3.2452 1.0839 3.0658
1.0817 1.1053 4.7046
3.2452 3.1480 1.3945
1.0817 1.1476 7.9330
3.2452 3.1902 4.6229
```

Computed properties:
- ΔH_f (0 K) (eV per atom) = -0.888
- SG = No. 59
- volume (Å³/atom) = 16.9
- DFT total energy (eV for the cell shown) = -51.2